A plane-wave DFT calculation with SCAN was carried out for Tc3IrAu at its PBEsol-relaxed geometry.

As for the final energy: -47.37 eV/atom. The formation energy comes out at 1.71 eV/atom. For the excess energy over the best structure of this formula in the dataset, the calculation gives 0.000 kcal/mol of atoms. For the mass density, the calculation gives 11.52 Mg/m³.

CIF file:
```
data_Tc3IrAu
_chemical_formula_sum 'Tc3 Ir1 Au1'
_cell_length_a 4.618
_cell_length_b 4.618
_cell_length_c 4.618
_cell_angle_alpha 90.00
_cell_angle_beta 90.00
_cell_angle_gamma 90.00
_symmetry_space_group_name_H-M 'P m -3 m'
_symmetry_Int_Tables_number 221
_symmetry_space_group_name_Hall '-P 4 2 3'
loop_
_atom_site_label
_atom_site_type_symbol
_atom_site_fract_x
_atom_site_fract_y
_atom_site_fract_z
Tc1 Tc 0.000 0.000 0.500
Ir1 Ir 0.000 0.000 0.000
Au1 Au 0.500 0.500 0.500
```